[1]
TlRuSeBr2: relaxed, GGA-PBE.

Cell: 4.863 4.863 5.820 Å, 90.00 90.00 90.00°
Space group P4/mmm (No. 123)
Inequivalent atoms, fractional coordinates:
Tl1 0.000 0.000 0.000 (multiplicity 1)
Ru1 0.000 0.000 0.500 (multiplicity 1)
Se1 0.500 0.500 0.000 (multiplicity 1)
Br1 0.000 0.500 0.500 (multiplicity 2)

Output
Offset from the most stable computed form = 526 meV per atom
ΔE_f (raw) = 361.6 meV per atom



[2]
Nd2Hg2Au: relaxed, GGA-PBE.

Cell: 3.802 20.127 3.553 Å, 90.00 90.00 90.00°
Space group Cmmm (No. 65)
Inequivalent atoms, fractional coordinates:
Nd1 0.000 0.094 0.000 (multiplicity 4)
Hg1 0.000 0.305 0.500 (multiplicity 4)
Au1 0.000 0.500 0.500 (multiplicity 2)

Output
Formation energy = -469 meV per atom
Offset from the most stable computed form = 49 meV per atom



[3]
CdS2N: relaxed, GGA-PBE.

Cell: 5.158 5.158 11.348 Å, 90.00 90.00 90.00°
Space group I-42d (No. 122)
Inequivalent atoms, fractional coordinates:
Cd1 0.000 0.000 0.000 (multiplicity 4)
S1 0.148 0.250 0.625 (multiplicity 8)
N1 0.000 0.000 0.500 (multiplicity 4)

Output
Offset from the most stable computed form = 226 meV per atom
ΔE_f (raw) = 736.5 meV per atom



[4]
Ce2PaGa6: relaxed, GGA-PBE.

Cell: 4.440 7.026 13.077 Å, 90.00 90.00 90.00°
Space group Immm (No. 71)
Inequivalent atoms, fractional coordinates:
Ce1 0.000 0.000 0.110 (multiplicity 4)
Pa1 0.000 0.500 0.000 (multiplicity 2)
Ga1 0.000 0.193 0.312 (multiplicity 8)
Ga2 0.000 0.293 0.500 (multiplicity 4)

Output
Formation energy = -216 meV per atom
Offset from the most stable computed form = 258 meV per atom



[5]
Mn2AlSnB: relaxed, GGA-PBE.

Cell: 4.205 4.205 4.090 Å, 90.00 90.00 90.00°
Space group P4/mmm (No. 123)
Inequivalent atoms, fractional coordinates:
Mn1 0.000 0.500 0.000 (multiplicity 2)
Al1 0.000 0.000 0.500 (multiplicity 1)
Sn1 0.500 0.500 0.500 (multiplicity 1)
B1 0.000 0.000 0.000 (multiplicity 1)

Output
Formation energy = 105 meV per atom



[6]
Cd2Si2Pd: relaxed, GGA-PBE.

Cell: 6.299 6.299 4.655 Å, 90.00 90.00 90.00°
Space group P4/mbm (No. 127)
Inequivalent atoms, fractional coordinates:
Cd1 0.186 0.314 0.000 (multiplicity 4)
Si1 0.134 0.634 0.500 (multiplicity 4)
Pd1 0.000 0.000 0.500 (multiplicity 2)

Output
ΔE_f (raw) = -23.1 meV per atom



[7]
PrErPu2As4: relaxed, GGA-PBE.

Cell: 7.188 4.173 7.226 Å, 90.00 109.57 90.00°
Space group P2/m (No. 10)
Inequivalent atoms, fractional coordinates:
Pr1 0.000 0.000 0.000 (multiplicity 1)
Er1 0.000 0.500 0.500 (multiplicity 1)
Pu1 0.500 0.000 0.500 (multiplicity 1)
Pu2 0.500 0.500 0.000 (multiplicity 1)
As1 0.255 0.000 0.745 (multiplicity 2)
As2 0.260 0.500 0.260 (multiplicity 2)

Output
Formation energy = -1252 meV per atom



[8]
TbSm7In4: relaxed, GGA-PBE.

Cell: 14.670 5.762 10.646 Å, 90.00 123.62 90.00°
Space group C2/m (No. 12)
Inequivalent atoms, fractional coordinates:
Tb1 0.000 0.000 0.000 (multiplicity 2)
Sm1 0.000 0.500 0.000 (multiplicity 2)
Sm2 0.063 0.000 0.393 (multiplicity 4)
Sm3 0.207 0.000 0.880 (multiplicity 4)
Sm4 0.220 0.500 0.660 (multiplicity 4)
In1 0.058 0.500 0.754 (multiplicity 4)
In2 0.181 0.500 0.333 (multiplicity 4)

Output
Formation energy = -126 meV per atom



Magnetic moment, record by record: 1.745, 0.001, 0.000, 2.227, 5.564, 0.000, 9.901, 0.000 μB/f.u.